No. 1
A plane-wave DFT calculation with PBE-GGA was carried out for a relaxed structure of Tb5Er4Tm4.

Structure (extended XYZ):
```
13
Lattice="0.094 0.983 4.867 -8.462 -2.218 3.146 2.844 -7.862 4.066" Properties=species:S:1:pos:R:3 pbc="T T T"
Tb -4.903 -7.231 9.156
Tb -0.621 -1.867 2.922
Tb 0.483 -6.707 6.412
Tb -6.007 -2.391 5.666
Tb 0.000 0.000 0.000
Tm -4.281 -5.385 6.237
Tm -1.243 -3.713 5.841
Tm -3.668 -3.548 3.321
Tm -1.856 -5.550 8.757
Er -2.552 -8.388 6.810
Er -6.629 -4.249 8.587
Er -2.973 -0.710 5.268
Er 1.105 -4.849 3.491
```

Calculated values
uncorrected energy: -59.0 eV/f.u.
energy of formation: 21 meV/atom

No. 2
A plane-wave DFT calculation with PBE-GGA was carried out for a relaxed structure of Y2Zr6Sc3.

Structure (extended XYZ):
```
11
Lattice="5.028 0.000 0.000 0.000 7.122 -4.112 0.000 0.000 8.223" Properties=species:S:1:pos:R:3 pbc="T T T"
Zr 0.000 5.590 -3.227
Zr 0.000 1.532 0.884
Zr 2.514 5.597 3.232
Zr 2.514 1.524 -0.880
Zr 2.514 0.000 1.760
Zr 0.000 0.000 6.455
Y 0.000 2.374 4.112
Y 0.000 4.748 0.000
Sc 2.514 4.053 -2.340
Sc 2.514 3.068 1.771
Sc 2.514 0.000 4.681
```

Calculated values
uncorrected energy: -79.9 eV/f.u.
energy of formation: 299 meV/atom

No. 3
A plane-wave DFT calculation with PBE-GGA was carried out for a relaxed structure of RbHg3Pd.

Structure (extended XYZ):
```
10
Lattice="3.947 -8.270 0.000 3.947 8.270 0.000 0.000 0.000 5.158" Properties=species:S:1:pos:R:3 pbc="T T T"
Hg 0.000 0.000 0.000
Hg 5.439 -1.542 3.869
Hg 0.000 0.000 2.579
Hg 2.456 -1.542 3.869
Hg 5.439 1.542 1.290
Hg 2.456 1.542 1.290
Rb 3.947 4.836 1.290
Rb 3.947 -4.836 3.869
Pd 3.947 -0.893 1.290
Pd 3.947 0.893 3.869
```

Calculated values
uncorrected energy: -7.1 eV/f.u.
energy of formation: 1 meV/atom

No. 4
A plane-wave DFT calculation with PBE-GGA was carried out for a relaxed structure of PmDyHo2Se6.

Structure (extended XYZ):
```
10
Lattice="-4.087 -5.877 1.120 2.976 -6.598 -0.325 0.958 -3.871 6.615" Properties=species:S:1:pos:R:3 pbc="T T T"
Se -1.592 -6.055 2.251
Se -1.874 -7.981 5.730
Se 1.404 -6.281 4.967
Se 2.027 -8.314 1.596
Se -1.671 -10.367 2.463
Se 1.234 -10.042 5.172
Ho -0.135 -8.186 3.427
Ho 0.909 -3.882 6.379
Pm -0.371 -12.315 4.334
Dy -0.308 -4.145 0.563
```

Calculated values
uncorrected energy: -57.9 eV/f.u.
formation energy without anion corrections: -1.85 eV/atom

No. 5
A plane-wave DFT calculation with PBE-GGA was carried out for a relaxed structure of La6Tl2Si.

Structure (extended XYZ):
```
9
Lattice="4.540 0.000 0.000 0.000 8.595 0.000 0.000 -4.297 7.442" Properties=species:S:1:pos:R:3 pbc="T T T"
Tl 0.000 4.297 2.481
Tl 0.000 0.000 4.961
La 0.000 2.155 0.000
La 0.000 3.219 5.577
La 0.000 7.517 1.866
La 2.270 5.212 0.000
La 2.270 1.692 2.931
La 2.270 5.989 4.511
Si 2.270 0.001 0.000
```

Calculated values
uncorrected energy: -43.1 eV/f.u.
formation energy without anion corrections: -0.38 eV/atom

No. 6
A plane-wave DFT calculation with PBE-GGA was carried out for a relaxed structure of CrCuS.

Structure (extended XYZ):
```
6
Lattice="-3.197 0.481 -0.393 -0.323 -3.047 -1.104 -1.419 -2.795 8.132" Properties=species:S:1:pos:R:3 pbc="T T T"
Cr -2.674 -1.876 5.964
Cr -0.506 -2.201 1.420
Cu -1.683 0.075 0.286
Cu -1.497 -4.152 7.098
S -1.117 -3.404 4.920
S -2.063 -0.674 2.464
```

Calculated values
uncorrected energy: -18.5 eV/f.u.
formation energy without anion corrections: -0.22 eV/atom

No. 7
A plane-wave DFT calculation with PBE-GGA was carried out for a relaxed structure of Y2SiSn.

Structure (extended XYZ):
```
8
Lattice="-1.334 1.278 3.607 3.319 -4.168 2.704 4.373 7.606 -1.078" Properties=species:S:1:pos:R:3 pbc="T T T"
Sn 3.860 4.341 1.027
Sn 2.499 0.375 4.206
Si 1.637 0.536 1.553
Si 4.722 4.180 3.679
Y 3.829 7.218 2.273
Y 4.762 1.528 2.358
Y 1.597 3.188 2.875
Y 2.530 -2.502 2.960
```

Calculated values
uncorrected energy: -25.4 eV/f.u.
formation energy without anion corrections: -0.76 eV/atom

No. 8
A plane-wave DFT calculation with PBE-GGA was carried out for a relaxed structure of Ga2CoRh.

Structure (extended XYZ):
```
8
Lattice="6.557 0.000 0.000 0.000 6.557 0.000 3.279 3.279 2.748" Properties=species:S:1:pos:R:3 pbc="T T T"
Co 3.279 3.279 0.000
Co 3.279 6.557 1.374
Ga 8.197 8.102 2.061
Ga 4.918 5.013 2.061
Ga 4.823 1.639 0.687
Ga 1.735 4.918 0.687
Rh 6.557 3.279 1.374
Rh 0.000 0.000 0.000
```

Calculated values
uncorrected energy: -20.5 eV/f.u.
energy of formation: 11 meV/atom

No. 9
A plane-wave DFT calculation with PBE-GGA was carried out for a relaxed structure of Rb2BaFeCl6.

Structure (extended XYZ):
```
10
Lattice="-0.517 1.896 -7.258 3.529 -6.359 -1.913 -3.175 -4.733 -4.905" Properties=species:S:1:pos:R:3 pbc="T T T"
Ba 0.000 0.000 0.000
Cl 2.166 -3.210 -6.597
Cl 0.384 -5.867 -9.351
Cl 0.845 -1.253 -2.574
Cl 0.618 -0.421 -5.758
Cl -0.548 -3.329 -4.726
Cl 2.393 -4.042 -3.413
Rb -1.093 -2.534 -8.375
Rb 0.930 -6.662 -5.702
Fe 1.506 -2.231 -4.586
```

Calculated values
uncorrected energy: -39.1 eV/f.u.
formation energy without anion corrections: -1.57 eV/atom